RbFeBr4: optimized geometry, PBE-GGA.

Structure (extended XYZ):
```
12
Lattice="6.868 0.000 0.000 0.000 10.844 0.000 -1.155 0.000 6.888" Properties=species:S:1:pos:R:3 pbc="T T T"
Rb 0.655 2.711 1.236
Rb 5.058 8.133 5.652
Fe 2.321 8.133 2.140
Fe 3.392 2.711 4.748
Br 1.497 6.232 1.010
Br 1.497 10.034 1.010
Br 1.028 2.711 4.797
Br 1.647 8.133 4.398
Br 4.066 2.711 2.490
Br 4.684 8.133 2.091
Br 4.215 0.810 5.878
Br 4.215 4.612 5.878
```

* crystal system: monoclinic
* excess energy over the best structure of this formula in the dataset: 0.0 kJ per mole of atoms
* M_tot: 5.0 μB/f.u.
* formation energy from raw total energies: -0.96 eV/atom
* uncorrected energy: -3.647 eV per atom
* SG: P2_1/m (11)
* calculated density: 3.0 Mg/m³